# 1
The following is a PBE calculation of an optimized crystal structure of Ca4ZnGa2, from the Alexandria database.

Cell: 9.027 9.027 9.027 Å, 33.31 33.31 33.31°
Element x y z (fractional)
1 Ca 0.125 0.125 0.125
2 Ca 0.375 0.375 0.375
3 Ca 0.625 0.625 0.625
4 Ca 0.875 0.875 0.875
5 Zn 0.500 0.500 0.500
6 Ga 0.248 0.248 0.248
7 Ga 0.752 0.752 0.752

Total DFT energy (no corrections) = -2.4931 eV per atom
E above lowest polymorph = 0 meV/atom
E_form = -0.303 eV/atom
Calculated volume = 197.6 Å³/cell
N(E_F) = 1.096 states/eV per atom

=====

# 2
The following is a PBE calculation of an optimized crystal structure of Ca2Zn12Ga7, from the Alexandria database.

Cell: 10.018 10.018 4.392 Å, 90.00 90.00 120.00°
Element x y z (fractional)
1 Ca 0.333 0.667 0.211
2 Ca 0.667 0.333 0.789
3 Zn 0.041 0.430 0.789
4 Zn 0.123 0.261 0.177
5 Zn 0.138 0.877 0.177
6 Zn 0.261 0.138 0.823
7 Zn 0.389 0.959 0.789
8 Zn 0.430 0.389 0.211
9 Zn 0.570 0.611 0.789
10 Zn 0.611 0.041 0.211
11 Zn 0.739 0.862 0.177
12 Zn 0.862 0.123 0.823
13 Zn 0.877 0.739 0.823
14 Zn 0.959 0.570 0.211
15 Ga 0.000 0.000 0.500
16 Ga 0.122 0.716 0.687
17 Ga 0.284 0.406 0.687
18 Ga 0.406 0.122 0.313
19 Ga 0.594 0.878 0.687
20 Ga 0.716 0.594 0.313
21 Ga 0.878 0.284 0.313

Total DFT energy (no corrections) = -2.0454 eV per atom
E_form = -0.118 eV/atom
Calculated volume = 381.7 Å³/cell
N(E_F) = 0.295 states/eV per atom

=====

# 3
The following is a PBE calculation of an optimized crystal structure of CaZn2Ga6, from the Alexandria database.

Cell: 4.252 4.252 9.670 Å, 90.00 90.00 90.00°
Element x y z (fractional)
1 Ca 0.000 0.000 0.000
2 Zn 0.500 0.500 0.126
3 Zn 0.500 0.500 0.874
4 Ga 0.000 0.000 0.500
5 Ga 0.000 0.500 0.287
6 Ga 0.000 0.500 0.713
7 Ga 0.500 0.000 0.287
8 Ga 0.500 0.000 0.713
9 Ga 0.500 0.500 0.500

Total DFT energy (no corrections) = -2.6457 eV per atom
E above lowest polymorph = 0 meV/atom
E_form = -0.122 eV/atom
Calculated volume = 174.8 Å³/cell
N(E_F) = 0.563 states/eV per atom